Entry 1:
Here is an optimized crystal structure of DyScTiTl from Alexandria. Energies are from PBE-GGA.

a = 5.1338 Å, b = 5.1338 Å, c = 5.1338 Å
α = 60.00°, β = 60.00°, γ = 60.00°
Fractional positions:
1 Dy 0.0000 0.0000 0.0000
2 Sc 0.5000 0.5000 0.5000
3 Ti 0.7500 0.7500 0.7500
4 Tl 0.2500 0.2500 0.2500

Calculated values
Space group: F-43m, No. 216
Final energy in eV/atom: -5.30
Formation enthalpy at 0 K in eV/atom: -0.006

***

Entry 2:
Here is an optimized crystal structure of Fe2Co2Pt from Alexandria. Energies are from PBE-GGA.

a = 4.1366 Å, b = 4.1366 Å, c = 4.8609 Å
α = 115.44°, β = 115.44°, γ = 59.85°
Fractional positions:
1 Fe 0.0923 0.0923 0.2774
2 Fe 0.9077 0.9077 0.7226
3 Co 0.2910 0.2910 0.8729
4 Co 0.7090 0.7090 0.1271
5 Pt 0.5000 0.5000 0.5000

Calculated values
Energy relative to the lowest polymorph listed for this composition in eV per atom: 0.0000
Space group: C2/m, No. 12
Final energy in eV/atom: -7.48
Formation enthalpy at 0 K in eV/atom: -0.044

***

Entry 3:
Here is an optimized crystal structure of CrTc2Rh from Alexandria. Energies are from PBE-GGA.

a = 2.6966 Å, b = 3.7969 Å, c = 5.4146 Å
α = 90.00°, β = 90.00°, γ = 90.00°
Fractional positions:
1 Cr 0.0000 0.0000 0.0000
2 Tc 0.0000 0.0000 0.5156
3 Tc 0.5000 0.5000 0.7624
4 Rh 0.5000 0.5000 0.2468

Calculated values
Energy relative to the lowest polymorph listed for this composition in eV per atom: 0.0316
Space group: Pmm2, No. 25
Final energy in eV/atom: -9.38
Formation enthalpy at 0 K in eV/atom: 0.048

***

Entry 4:
Here is an optimized crystal structure of ZnCuPt3 from Alexandria. Energies are from PBE-GGA.

a = 4.5690 Å, b = 4.5690 Å, c = 4.5690 Å
α = 90.00°, β = 90.00°, γ = 90.00°
Fractional positions:
1 Zn 0.0000 0.0000 0.0000
2 Cu 0.5000 0.5000 0.5000
3 Pt 0.0000 0.5000 0.5000
4 Pt 0.5000 0.0000 0.5000
5 Pt 0.5000 0.5000 0.0000

Calculated values
Energy relative to the lowest polymorph listed for this composition in eV per atom: 1.1045
Space group: Pm-3m, No. 221
Final energy in eV/atom: -3.88
Formation enthalpy at 0 K in eV/atom: 0.820